Density functional theory data (GGA-PBE) for crystalline Zr2TlIr at its relaxed geometry.

Unit cell a=3.1123 b=3.1123 c=8.4549 alpha=90.00 beta=90.00 gamma=90.00
Space group P4/mmm (No. 123)
Asymmetric unit:
Zr 0.0000 0.0000 0.2151 x2
Tl 0.5000 0.5000 0.5000 x1
Ir 0.5000 0.5000 0.0000 x1

DOS at the Fermi energy   1.20 states/eV per atom


Density functional theory data (GGA-PBE) for crystalline ZrTlIr at its relaxed geometry.

Unit cell a=6.5434 b=6.5434 c=6.5434 alpha=90.00 beta=90.00 gamma=90.00
Space group F-43m (No. 216)
Asymmetric unit:
Zr 0.0000 0.0000 0.0000 x4
Tl 0.2500 0.2500 0.2500 x4
Ir 0.2500 0.2500 0.7500 x4

DOS at the Fermi energy   1.09 states/eV per atom


Density functional theory data (GGA-PBE) for crystalline ZrTlIr at its relaxed geometry.

Unit cell a=4.7097 b=4.7097 c=3.0449 alpha=90.00 beta=90.00 gamma=120.00
Space group P-6m2 (No. 187)
Asymmetric unit:
Zr 0.0000 0.0000 0.0000 x1
Tl 0.3333 0.6667 0.5000 x1
Ir 0.6667 0.3333 0.5000 x1

DOS at the Fermi energy   0.59 states/eV per atom


Density functional theory data (GGA-PBE) for crystalline Zr2TlIr at its relaxed geometry.

Unit cell a=4.1147 b=4.1147 c=9.5477 alpha=90.00 beta=90.00 gamma=90.00
Space group I-4m2 (No. 119)
Asymmetric unit:
Zr 0.0000 0.0000 0.0000 x2
Zr 0.0000 0.5000 0.2500 x2
Tl 0.0000 0.0000 0.5000 x2
Ir 0.0000 0.5000 0.7500 x2

DOS at the Fermi energy   0.85 states/eV per atom


Density functional theory data (GGA-PBE) for crystalline ZrTlIr at its relaxed geometry.

Unit cell a=6.4777 b=6.4777 c=6.4777 alpha=90.00 beta=90.00 gamma=90.00
Space group F-43m (No. 216)
Asymmetric unit:
Zr 0.0000 0.0000 0.0000 x4
Tl 0.0000 0.0000 0.5000 x4
Ir 0.2500 0.2500 0.7500 x4

DOS at the Fermi energy   1.85 states/eV per atom


Density functional theory data (GGA-PBE) for crystalline ZrTlIr at its relaxed geometry.

Unit cell a=3.5565 b=3.5565 c=9.5511 alpha=90.00 beta=90.00 gamma=90.00
Space group I4mm (No. 107)
Asymmetric unit:
Zr 0.0000 0.0000 0.0000 x2
Tl 0.0000 0.0000 0.6895 x2
Ir 0.0000 0.0000 0.3682 x2

DOS at the Fermi energy   0.46 states/eV per atom


Density functional theory data (GGA-PBE) for crystalline Zr2TlIr at its relaxed geometry.

Unit cell a=4.3934 b=3.5017 c=11.0449 alpha=90.00 beta=90.00 gamma=90.00
Space group Amm2 (No. 38)
Asymmetric unit:
Zr 0.0000 0.0000 0.0000 x2
Zr 0.5000 0.0000 0.3098 x2
Tl 0.0000 0.0000 0.7242 x2
Ir 0.5000 0.0000 0.5446 x2

DOS at the Fermi energy   0.60 states/eV per atom


Density functional theory data (GGA-PBE) for crystalline Zr2TlIr at its relaxed geometry.

Unit cell a=3.3910 b=4.6888 c=10.6553 alpha=90.00 beta=90.00 gamma=90.00
Space group Imm2 (No. 44)
Asymmetric unit:
Zr 0.0000 0.0000 0.0000 x2
Zr 0.0000 0.5000 0.2173 x2
Tl 0.0000 0.0000 0.4274 x2
Ir 0.0000 0.5000 0.6985 x2

DOS at the Fermi energy   0.92 states/eV per atom


Calculated density readings, ordered: 11.741 11.566 13.849 11.897 11.921 13.411 11.318 11.351 g/cm³
Calculated volume readings, ordered: 81.9 280.2 58.5 161.6 271.8 120.8 169.9 169.4 Å³ per cell
Total DFT energy (no corrections) readings, ordered: -7.503 -6.352 -6.750 -7.307 -6.778 -6.774 -7.417 -7.361 eV per atom